A relaxed MgNiAsSe2 crystal, computed with PBE.

Lattice parameters (Å, degrees): 5.0231 5.0231 4.3004 90.00 90.00 90.00
Element x y z (fractional)
Mg: 0.0000 0.0000 0.0000
Ni: 0.5000 0.5000 0.5000
As: 0.5000 0.5000 0.0000
Se: 0.0000 0.5000 0.5000
Se: 0.5000 0.0000 0.5000

Properties
Formation energy without anion corrections: 0.05 eV/atom
Crystal system: tetragonal
ΔE to the lowest computed polymorph: 0 meV per atom
Space-group type: P4/mmm (123)